i.
{"formula": "CuTeCl2", "functional": "PBE", "state": "relaxed", "density_g_cm3": 3.90, "lattice_angstrom": [[4.323, -0.429, -0.210], [3.254, 2.877, -0.210], [0.597, 0.193, 8.025]], "species": ["Cl", "Cl", "Cu", "Te"], "fractional_positions": [[0.840, 0.840, 0.641], [0.033, 0.033, 0.052], [0.470, 0.470, 0.490], [0.157, 0.157, 0.317]]}

ii.
{"formula": "CuTeCl2", "functional": "PBE", "state": "relaxed", "density_g_cm3": 3.98, "lattice_angstrom": [[-1.721, -0.937, -3.415], [2.959, -1.946, 1.722], [-5.765, -4.986, 4.274]], "species": ["Cu", "Cl", "Cl", "Te"], "fractional_positions": [[0.000, 0.000, 0.498], [0.000, 0.000, 0.950], [0.500, 0.500, 0.343], [0.500, 0.500, 0.709]]}

iii.
{"formula": "CuTeCl2", "functional": "PBE", "state": "relaxed", "density_g_cm3": 3.69, "lattice_angstrom": [[6.296, 0.031, 0.097], [0.277, 6.290, -0.097], [-1.140, -5.393, 3.044]], "species": ["Cu", "Cl", "Cl", "Te"], "fractional_positions": [[0.750, 0.250, 0.500], [0.573, 0.573, 0.000], [0.927, 0.927, 0.000], [0.250, 0.750, 0.500]]}

iv.
{"formula": "CuTeCl2", "functional": "PBE", "state": "relaxed", "density_g_cm3": 4.33, "lattice_angstrom": [[3.061, 0.000, 0.000], [0.000, 3.062, 0.000], [0.000, 0.000, 10.720]], "species": ["Te", "Cl", "Cl", "Cu"], "fractional_positions": [[0.500, 0.500, 0.750], [0.000, 0.000, 0.393], [0.000, 0.000, 0.107], [0.500, 0.500, 0.250]]}

Which one is most stable, and which one is least stable? i is the most stable of them, while iv is the least stable.

i.
{"formula": "CuTeCl2", "functional": "PBE", "state": "relaxed", "density_g_cm3": 5.04, "lattice_angstrom": [[-1.132, -2.083, -4.597], [2.595, -4.281, 1.301], [-2.701, -1.261, 1.237]], "species": ["Cl", "Cl", "Te", "Cu"], "fractional_positions": [[0.500, 0.500, 0.000], [0.000, 0.000, 0.000], [0.000, 0.500, 0.500], [0.500, 0.000, 0.500]]}

ii.
{"formula": "CuTeCl2", "functional": "PBE", "state": "relaxed", "density_g_cm3": 5.29, "lattice_angstrom": [[4.814, -0.809, 0.000], [0.814, 4.813, 0.000], [-2.814, -2.002, 3.450]], "species": ["Cl", "Cl", "Cu", "Te"], "fractional_positions": [[0.250, 0.750, 0.500], [0.000, 0.000, 0.000], [0.500, 0.500, 0.000], [0.750, 0.250, 0.500]]}

Which one is most stable, and which one is least stable? i is the most stable of them, while ii is the least stable.

i.
{"formula": "CuTeCl2", "functional": "PBE", "state": "relaxed", "density_g_cm3": 3.95, "lattice_angstrom": [[3.544, -0.102, 0.000], [-2.023, 2.911, 0.000], [0.000, 0.000, 10.883]], "species": ["Cl", "Cl", "Te", "Cu"], "fractional_positions": [[0.000, 0.000, 0.103], [0.000, 0.000, 0.397], [0.500, 0.500, 0.750], [0.500, 0.500, 0.250]]}

ii.
{"formula": "CuTeCl2", "functional": "PBE", "state": "relaxed", "density_g_cm3": 4.50, "lattice_angstrom": [[8.662, -0.006, -0.003], [7.898, 3.558, -0.003], [7.898, 1.694, 3.128]], "species": ["Cl", "Cl", "Cu", "Te"], "fractional_positions": [[0.017, 0.017, 0.017], [0.216, 0.216, 0.216], [0.501, 0.501, 0.501], [0.766, 0.766, 0.766]]}

Which one is most stable, and which one is least stable? ii is the most stable of them, while i is the least stable.